{"formula": "Li2AlRu", "functional": "PBEsol", "state": "relaxed", "lattice": [[4.995, -1.443, 0.000], [4.995, 1.443, 0.000], [-1.670, 0.000, 3.775]], "species": ["Li", "Li", "Al", "Ru"], "fractional_positions": [[0.248, 0.248, 0.247], [0.752, 0.752, 0.753], [0.000, 0.000, 0.500], [0.500, 0.500, 0.000]], "ef_ev_per_atom": -0.150}